LaPb2Cl: relaxed, GGA-PBE.

Cell and atoms, written as POSCAR:
```
LaPb2Cl
1.0
0.0000 3.9450 3.9450
3.9450 0.0000 3.9450
3.9450 3.9450 0.0000
Pb La Cl
2 1 1
Cartesian
1.9725 1.9725 1.9725
5.9175 5.9175 5.9175
3.9450 3.9450 3.9450
0.0000 0.0000 0.0000
```

Computed properties:
Distance to the lowest polymorph of the same formula in eV per atom: 0.615
Crystal system: cubic
Density in kg/m3: 7962

---

LaPb2Cl: relaxed, GGA-PBE.

Cell and atoms, written as POSCAR:
```
LaPb2Cl
1.0
-0.9820 10.4368 -2.4699
-4.3962 9.3140 -3.1488
-3.4097 10.2127 0.2567
Cl La Pb
1 1 2
Cartesian
-2.1970 7.4909 -1.3405
-6.5909 22.4726 -4.0215
-8.7081 29.6916 -5.3133
-4.4736 15.2536 -2.7296
```

Computed properties:
Distance to the lowest polymorph of the same formula in eV per atom: 0.620
Crystal system: trigonal
Density in kg/m3: 7990

---

LaPb2Cl: relaxed, GGA-PBE.

Cell and atoms, written as POSCAR:
```
LaPb2Cl
1.0
7.4366 0.0117 -0.0218
6.4127 3.7656 -0.0218
1.4197 0.3872 4.3321
Cl La Pb
1 1 2
Cartesian
3.8172 1.0411 1.0721
11.4517 3.1233 3.2164
7.1794 1.9581 2.3044
1.8747 0.5113 4.1719
```

Computed properties:
Distance to the lowest polymorph of the same formula in eV per atom: 0.070
Crystal system: orthorhombic
Density in kg/m3: 8072

---

LaPb2Cl: relaxed, GGA-PBE.

Cell and atoms, written as POSCAR:
```
LaPb2Cl
1.0
5.9989 0.0055 0.0000
-2.4321 5.4837 0.0000
0.0000 0.0000 3.5725
Pb La Cl
2 1 1
Cartesian
0.0000 0.0000 0.0000
1.7834 2.7446 0.0000
-1.2160 2.7419 1.7862
2.9994 0.0027 1.7862
```

Computed properties:
Distance to the lowest polymorph of the same formula in eV per atom: 0.326
Crystal system: orthorhombic
Density in kg/m3: 8316

---

LaPb2Cl: relaxed, GGA-PBE.

Cell and atoms, written as POSCAR:
```
LaPb2Cl
1.0
10.7140 0.0000 0.0000
0.0000 10.7140 0.0000
5.3570 5.3570 2.7150
La Pb Cl
2 4 2
Cartesian
0.0000 0.0000 0.0000
10.7140 5.3570 1.3575
1.9339 8.0355 0.6788
8.0355 7.2909 2.0363
8.7801 2.6785 0.6788
13.3925 14.1371 2.0363
5.3570 5.3570 0.0000
5.3570 10.7140 1.3575
```

Computed properties:
Distance to the lowest polymorph of the same formula in eV per atom: 0.369
Crystal system: tetragonal
Density in kg/m3: 6274

---

LaPbCl4: relaxed, GGA-PBE.

Cell and atoms, written as POSCAR:
```
LaPbCl4
1.0
-5.0626 -3.0556 1.0181
-4.7222 0.7229 -3.6306
-1.6342 -4.4210 -3.7131
Cl Pb La
4 1 1
Cartesian
-6.6413 -2.1737 -4.1853
-6.8111 -4.0590 -1.8657
-5.1005 -4.7403 -4.2264
-4.2851 -2.5344 -2.3737
0.0000 0.0000 0.0000
-8.5642 -5.0653 -4.7442
```

Computed properties:
Crystal system: cubic
Density in kg/m3: 5304

---

LaPb2Cl: relaxed, GGA-PBE.

Cell and atoms, written as POSCAR:
```
LaPb2Cl
1.0
5.5292 0.0000 0.0000
2.7646 4.7885 0.0000
2.7646 1.5962 4.5146
Cl Pb La
1 2 1
Cartesian
5.5292 3.1923 2.2573
0.0000 0.0000 0.0000
2.7646 1.5962 1.1287
8.2939 4.7885 3.3860
```

Computed properties:
Distance to the lowest polymorph of the same formula in eV per atom: 0.223
Crystal system: cubic
Density in kg/m3: 8179

---

LaPmPbCl: relaxed, GGA-PBE.

Cell and atoms, written as POSCAR:
```
LaPmPbCl
1.0
5.4478 0.0000 0.0000
2.7239 4.7180 0.0000
2.7239 1.5727 4.4481
Cl La Pm Pb
1 1 1 1
Cartesian
8.1718 4.7180 3.3361
0.0000 0.0000 0.0000
5.4478 3.1453 2.2241
2.7239 1.5727 1.1120
```

Computed properties:
Crystal system: cubic
Density in kg/m3: 7648

---

Formation energy (no corrections)
In order: -1.11; -1.09; -3.29; -2.26; -2.09; -3.24; -2.67; -3.75
Unit: eV per formula unit